PmPr2AgHg4 | PBE | relaxed

a b c (Å): 9.5814 9.5814 9.5814
angles (deg): 31.53 31.53 31.53
Last column: nearest neighbours and their distance in Å.
Element x y z (fractional)
1 Pm 0.0000 0.0000 0.0000  8 Hg 3.18-3.41
2 Pr 0.2405 0.2405 0.2405  7 Hg 3.13-3.36
3 Pr 0.7595 0.7595 0.7595  7 Hg 3.13-3.36
4 Ag 0.5000 0.5000 0.5000  8 Hg 3.21-3.51
5 Hg 0.1251 0.1251 0.1251  4 Pr 3.13-3.15, 3 Ag 3.21, 1 Pm 3.41
6 Hg 0.3715 0.3715 0.3715  3 Pm 3.18, 3 Pr 3.36, 1 Ag 3.51
7 Hg 0.6285 0.6285 0.6285  3 Pm 3.18, 3 Pr 3.36, 1 Ag 3.51
8 Hg 0.8749 0.8749 0.8749  4 Pr 3.13-3.15, 3 Ag 3.21, 1 Pm 3.41

Output
DFT formation energy (meV/atom): -392
Total DFT energy (no corrections) (eV/atom): -2.69

=====

Rb3ZrPb | PBE | relaxed

a b c (Å): 7.0483 7.0483 7.0483
angles (deg): 90.00 90.00 90.00
Last column: nearest neighbours and their distance in Å.
Element x y z (fractional)
1 Rb 0.0000 0.0000 0.5000  2 Pb 3.52
2 Rb 0.0000 0.5000 0.0000  2 Pb 3.52
3 Rb 0.5000 0.0000 0.0000  2 Pb 3.52
4 Zr 0.5000 0.5000 0.5000  12 Rb 4.98
5 Pb 0.0000 0.0000 0.0000  6 Rb 3.52

Output
DFT formation energy (meV/atom): 1087
Total DFT energy (no corrections) (eV/atom): -1.94

=====

BaUS2 | PBE | relaxed

a b c (Å): 7.6055 7.6055 7.6055
angles (deg): 31.16 31.16 31.16
Last column: nearest neighbours and their distance in Å.
Element x y z (fractional)
1 Ba 0.0000 0.0000 0.0000  6 S 3.16
2 U 0.5000 0.5000 0.5000  6 S 2.80
3 S 0.2364 0.2364 0.2364  3 U 2.80
4 S 0.7636 0.7636 0.7636  3 U 2.80

Output
Energy relative to the elements, uncorrected (eV/atom): -1.56
Total DFT energy (no corrections) (eV/atom): -6.93